P) Below is a relaxed NaSm3Se4 crystal, with properties calculated at the PBE-GGA level.

N(E_F) = 0.3476 states/eV/atom
space-group type = Cmmm
total magnetic moment = 0.000 μB/atom

a = 7.259 Å, b = 7.259 Å, c = 4.162 Å
α = 90.00°, β = 90.00°, γ = 109.12°
Fractional coordinates of all 8 atoms:
Na (0.000, 0.000, 0.000)
Sm (0.000, 0.500, 0.500)
Sm (0.500, 0.000, 0.500)
Sm (0.500, 0.500, 0.000)
Se (0.249, 0.751, 0.000)
Se (0.251, 0.251, 0.500)
Se (0.749, 0.749, 0.500)
Se (0.751, 0.249, 0.000)

=====

Q) Below is a relaxed NaSm3Se4 crystal, with properties calculated at the PBE-GGA level.

N(E_F) = 0.3538 states/eV/atom
space-group type = Pm-3m
total magnetic moment = 0.000 μB/atom

a = 5.904 Å, b = 5.904 Å, c = 5.904 Å
α = 90.00°, β = 90.00°, γ = 90.00°
Fractional coordinates of all 8 atoms:
Na (0.000, 0.000, 0.000)
Sm (0.000, 0.500, 0.500)
Sm (0.500, 0.000, 0.500)
Sm (0.500, 0.500, 0.000)
Se (0.000, 0.000, 0.500)
Se (0.000, 0.500, 0.000)
Se (0.500, 0.000, 0.000)
Se (0.500, 0.500, 0.500)

=====

What should be chosen as the least stable of them? Choose P).

=====

P) Below is a relaxed Na2Sn2Se3 crystal, with properties calculated at the PBE-GGA level.

space-group type = P2_1/c
total magnetic moment = 0.000 μB/atom

a = 7.873 Å, b = 8.405 Å, c = 7.722 Å
α = 90.00°, β = 118.92°, γ = 90.00°
Fractional coordinates of all 14 atoms:
Na (0.123, 0.117, 0.219)
Na (0.123, 0.383, 0.719)
Na (0.877, 0.617, 0.281)
Na (0.877, 0.883, 0.781)
Sn (0.428, 0.665, 0.295)
Sn (0.428, 0.835, 0.795)
Sn (0.572, 0.165, 0.205)
Sn (0.572, 0.335, 0.705)
Se (0.225, 0.069, 0.893)
Se (0.225, 0.431, 0.393)
Se (0.500, 0.000, 0.500)
Se (0.500, 0.500, 0.000)
Se (0.775, 0.569, 0.607)
Se (0.775, 0.931, 0.107)

=====

Q) Below is a relaxed Na2Sn2Se3 crystal, with properties calculated at the PBE-GGA level.

space-group type = C2/m
total magnetic moment = 0.000 μB/atom

a = 7.535 Å, b = 7.535 Å, c = 7.404 Å
α = 108.03°, β = 108.03°, γ = 34.16°
Fractional coordinates of all 7 atoms:
Na (0.160, 0.160, 0.344)
Na (0.840, 0.840, 0.656)
Sn (0.381, 0.381, 0.108)
Sn (0.619, 0.619, 0.892)
Se (0.000, 0.000, 0.000)
Se (0.237, 0.237, 0.763)
Se (0.763, 0.763, 0.237)

=====

What should be chosen as the least stable of them? Choose P).

=====

P) Below is a relaxed Na3SnSe crystal, with properties calculated at the PBE-GGA level.

N(E_F) = 0.4277 states/eV/atom
space-group type = Pm-3m
total magnetic moment = 0.597 μB/atom

a = 5.831 Å, b = 5.831 Å, c = 5.831 Å
α = 90.00°, β = 90.00°, γ = 90.00°
Fractional coordinates of all 5 atoms:
Na (0.000, 0.000, 0.500)
Na (0.000, 0.500, 0.000)
Na (0.500, 0.000, 0.000)
Sn (0.000, 0.000, 0.000)
Se (0.500, 0.500, 0.500)

=====

Q) Below is a relaxed Na3SnSe crystal, with properties calculated at the PBE-GGA level.

N(E_F) = 0.8270 states/eV/atom
space-group type = Pm-3m
total magnetic moment = 0.000 μB/atom

a = 5.474 Å, b = 5.474 Å, c = 5.474 Å
α = 90.00°, β = 90.00°, γ = 90.00°
Fractional coordinates of all 5 atoms:
Na (0.000, 0.000, 0.500)
Na (0.000, 0.500, 0.000)
Na (0.500, 0.000, 0.000)
Sn (0.500, 0.500, 0.500)
Se (0.000, 0.000, 0.000)

=====

What should be chosen as the least stable of them? Choose P).

=====

P) Below is a relaxed NaSnSe3 crystal, with properties calculated at the PBE-GGA level.

space-group type = C2/c
total magnetic moment = 0.000 μB/atom

a = 8.631 Å, b = 8.631 Å, c = 8.214 Å
α = 106.50°, β = 106.50°, γ = 91.74°
Fractional coordinates of all 20 atoms:
Na (0.001, 0.689, 0.758)
Na (0.311, 0.999, 0.742)
Na (0.689, 0.001, 0.258)
Na (0.999, 0.311, 0.242)
Sn (0.219, 0.781, 0.250)
Sn (0.432, 0.568, 0.750)
Sn (0.568, 0.432, 0.250)
Sn (0.781, 0.219, 0.750)
Se (0.099, 0.210, 0.921)
Se (0.172, 0.629, 0.481)
Se (0.210, 0.099, 0.421)
Se (0.229, 0.479, 0.969)
Se (0.371, 0.828, 0.019)
Se (0.479, 0.229, 0.469)
Se (0.521, 0.771, 0.531)
Se (0.629, 0.172, 0.981)
Se (0.771, 0.521, 0.031)
Se (0.790, 0.901, 0.579)
Se (0.828, 0.371, 0.519)
Se (0.901, 0.790, 0.079)

=====

Q) Below is a relaxed NaSnSe3 crystal, with properties calculated at the PBE-GGA level.

N(E_F) = 0.2984 states/eV/atom
space-group type = P1
total magnetic moment = 0.000 μB/atom

a = 6.387 Å, b = 6.562 Å, c = 8.465 Å
α = 89.97°, β = 74.37°, γ = 89.86°
Fractional coordinates of all 10 atoms:
Na (0.000, 0.000, 0.000)
Na (0.452, 0.499, 0.735)
Sn (0.189, 0.952, 0.516)
Sn (0.262, 0.451, 0.220)
Se (0.024, 0.521, 0.023)
Se (0.120, 0.558, 0.525)
Se (0.332, 0.058, 0.211)
Se (0.428, 0.020, 0.712)
Se (0.607, 0.608, 0.035)
Se (0.844, 0.108, 0.700)

=====

What should be chosen as the least stable of them? Choose Q).

=====

P) Below is a relaxed NaSnSe3 crystal, with properties calculated at the PBE-GGA level.

N(E_F) = 0.9553 states/eV/atom
space-group type = Pm-3m
total magnetic moment = 0.000 μB/atom

a = 5.362 Å, b = 5.362 Å, c = 5.362 Å
α = 90.00°, β = 90.00°, γ = 90.00°
Fractional coordinates of all 5 atoms:
Na (0.000, 0.000, 0.000)
Sn (0.500, 0.500, 0.500)
Se (0.000, 0.500, 0.500)
Se (0.500, 0.000, 0.500)
Se (0.500, 0.500, 0.000)

=====

Q) Below is a relaxed NaSnSe3 crystal, with properties calculated at the PBE-GGA level.

N(E_F) = 0.9311 states/eV/atom
space-group type = Pm-3m
total magnetic moment = 0.418 μB/atom

a = 5.181 Å, b = 5.181 Å, c = 5.181 Å
α = 90.00°, β = 90.00°, γ = 90.00°
Fractional coordinates of all 5 atoms:
Na (0.000, 0.000, 0.000)
Sn (0.500, 0.500, 0.500)
Se (0.000, 0.000, 0.500)
Se (0.000, 0.500, 0.000)
Se (0.500, 0.000, 0.000)

=====

What should be chosen as the least stable of them? Choose Q).

=====

P) Below is a relaxed NaSn2Se2 crystal, with properties calculated at the PBE-GGA level.

N(E_F) = 0.4812 states/eV/atom
space-group type = I4/mmm
total magnetic moment = 0.000 μB/atom

a = 8.097 Å, b = 8.097 Å, c = 8.097 Å
α = 149.09°, β = 149.09°, γ = 44.28°
Fractional coordinates of all 5 atoms:
Na (0.000, 0.000, 0.000)
Sn (0.250, 0.750, 0.500)
Sn (0.750, 0.250, 0.500)
Se (0.413, 0.413, 0.000)
Se (0.587, 0.587, 0.000)

=====

Q) Below is a relaxed NaSn2Se2 crystal, with properties calculated at the PBE-GGA level.

N(E_F) = 0.5345 states/eV/atom
space-group type = P4/mbm
total magnetic moment = 0.000 μB/atom

a = 7.940 Å, b = 7.940 Å, c = 4.262 Å
α = 90.00°, β = 90.00°, γ = 90.00°
Fractional coordinates of all 10 atoms:
Na (0.000, 0.000, 0.000)
Na (0.500, 0.500, 0.000)
Sn (0.150, 0.350, 0.500)
Sn (0.350, 0.850, 0.500)
Sn (0.650, 0.150, 0.500)
Sn (0.850, 0.650, 0.500)
Se (0.177, 0.677, 0.000)
Se (0.323, 0.177, 0.000)
Se (0.677, 0.823, 0.000)
Se (0.823, 0.323, 0.000)

=====

What should be chosen as the least stable of them? Choose P).

=====

P) Below is a relaxed NaSn3Se crystal, with properties calculated at the PBE-GGA level.

N(E_F) = 0.8231 states/eV/atom
space-group type = Pm-3m
total magnetic moment = 0.000 μB/atom

a = 5.630 Å, b = 5.630 Å, c = 5.630 Å
α = 90.00°, β = 90.00°, γ = 90.00°
Fractional coordinates of all 5 atoms:
Na (0.000, 0.000, 0.000)
Sn (0.000, 0.500, 0.500)
Sn (0.500, 0.000, 0.500)
Sn (0.500, 0.500, 0.000)
Se (0.500, 0.500, 0.500)

=====

Q) Below is a relaxed NaSn3Se crystal, with properties calculated at the PBE-GGA level.

N(E_F) = 0.5362 states/eV/atom
space-group type = Pm-3m
total magnetic moment = 0.000 μB/atom

a = 5.412 Å, b = 5.412 Å, c = 5.412 Å
α = 90.00°, β = 90.00°, γ = 90.00°
Fractional coordinates of all 5 atoms:
Na (0.000, 0.000, 0.000)
Sn (0.000, 0.000, 0.500)
Sn (0.000, 0.500, 0.000)
Sn (0.500, 0.000, 0.000)
Se (0.500, 0.500, 0.500)

=====

What should be chosen as the least stable of them? Choose Q).

=====

P) Below is a relaxed NaSrSe3 crystal, with properties calculated at the PBE-GGA level.

N(E_F) = 1.2926 states/eV/atom
space-group type = Pm-3m
total magnetic moment = 0.333 μB/atom

a = 5.227 Å, b = 5.227 Å, c = 5.227 Å
α = 90.00°, β = 90.00°, γ = 90.00°
Fractional coordinates of all 5 atoms:
Na (0.000, 0.000, 0.000)
Sr (0.500, 0.500, 0.500)
Se (0.000, 0.000, 0.500)
Se (0.000, 0.500, 0.000)
Se (0.500, 0.000, 0.000)

=====

Q) Below is a relaxed NaSrSe3 crystal, with properties calculated at the PBE-GGA level.

N(E_F) = 0.3772 states/eV/atom
space-group type = Pm-3m
total magnetic moment = 0.600 μB/atom

a = 5.913 Å, b = 5.913 Å, c = 5.913 Å
α = 90.00°, β = 90.00°, γ = 90.00°
Fractional coordinates of all 5 atoms:
Na (0.000, 0.000, 0.000)
Sr (0.500, 0.500, 0.500)
Se (0.000, 0.500, 0.500)
Se (0.500, 0.000, 0.500)
Se (0.500, 0.500, 0.000)

=====

What should be chosen as the least stable of them? Choose Q).

=====

P) Below is a relaxed Na2Sr2Se crystal, with properties calculated at the PBE-GGA level.

N(E_F) = 0.6509 states/eV/atom
space-group type = P4/mbm
total magnetic moment = 0.000 μB/atom

a = 8.242 Å, b = 8.242 Å, c = 6.644 Å
α = 90.00°, β = 90.00°, γ = 90.00°
Fractional coordinates of all 10 atoms:
Na (0.142, 0.358, 0.000)
Na (0.358, 0.858, 0.000)
Na (0.642, 0.142, 0.000)
Na (0.858, 0.642, 0.000)
Sr (0.182, 0.682, 0.500)
Sr (0.318, 0.182, 0.500)
Sr (0.682, 0.818, 0.500)
Sr (0.818, 0.318, 0.500)
Se (0.000, 0.000, 0.500)
Se (0.500, 0.500, 0.500)

=====

Q) Below is a relaxed Na2Sr2Se crystal, with properties calculated at the PBE-GGA level.

N(E_F) = 0.6505 states/eV/atom
space-group type = P4/mbm
total magnetic moment = 0.000 μB/atom

a = 8.012 Å, b = 8.012 Å, c = 5.697 Å
α = 90.00°, β = 90.00°, γ = 90.00°
Fractional coordinates of all 10 atoms:
Na (0.145, 0.355, 0.000)
Na (0.355, 0.855, 0.000)
Na (0.645, 0.145, 0.000)
Na (0.855, 0.645, 0.000)
Sr (0.176, 0.676, 0.500)
Sr (0.324, 0.176, 0.500)
Sr (0.676, 0.824, 0.500)
Sr (0.824, 0.324, 0.500)
Se (0.000, 0.000, 0.000)
Se (0.500, 0.500, 0.000)

=====

What should be chosen as the least stable of them? Choose Q).

=====

P) Below is a relaxed Na2SrSe2 crystal, with properties calculated at the PBE-GGA level.

N(E_F) = 0.0000 states/eV/atom
space-group type = P4/mbm
total magnetic moment = 0.000 μB/atom

a = 8.247 Å, b = 8.247 Å, c = 4.164 Å
α = 90.00°, β = 90.00°, γ = 90.00°
Fractional coordinates of all 10 atoms:
Na (0.128, 0.372, 0.000)
Na (0.372, 0.872, 0.000)
Na (0.628, 0.128, 0.000)
Na (0.872, 0.628, 0.000)
Sr (0.000, 0.000, 0.500)
Sr (0.500, 0.500, 0.500)
Se (0.178, 0.678, 0.500)
Se (0.322, 0.178, 0.500)
Se (0.678, 0.822, 0.500)
Se (0.822, 0.322, 0.500)

=====

Q) Below is a relaxed Na2SrSe2 crystal, with properties calculated at the PBE-GGA level.

N(E_F) = 0.0000 states/eV/atom
space-group type = I4/mmm
total magnetic moment = 0.000 μB/atom

a = 7.971 Å, b = 7.971 Å, c = 7.971 Å
α = 149.20°, β = 149.20°, γ = 44.11°
Fractional coordinates of all 5 atoms:
Na (0.250, 0.750, 0.500)
Na (0.750, 0.250, 0.500)
Sr (0.000, 0.000, 0.000)
Se (0.382, 0.382, 0.000)
Se (0.618, 0.618, 0.000)

=====

What should be chosen as the least stable of them? Choose P).

=====

P) Below is a relaxed NaSr2Se2 crystal, with properties calculated at the PBE-GGA level.

N(E_F) = 0.1162 states/eV/atom
space-group type = P4/mbm
total magnetic moment = 0.176 μB/atom

a = 8.391 Å, b = 8.391 Å, c = 4.175 Å
α = 90.00°, β = 90.00°, γ = 90.00°
Fractional coordinates of all 10 atoms:
Na (0.000, 0.000, 0.000)
Na (0.500, 0.500, 0.000)
Sr (0.153, 0.347, 0.500)
Sr (0.347, 0.847, 0.500)
Sr (0.653, 0.153, 0.500)
Sr (0.847, 0.653, 0.500)
Se (0.155, 0.655, 0.000)
Se (0.345, 0.155, 0.000)
Se (0.655, 0.845, 0.000)
Se (0.845, 0.345, 0.000)

=====

Q) Below is a relaxed NaSr2Se2 crystal, with properties calculated at the PBE-GGA level.

N(E_F) = 0.4691 states/eV/atom
space-group type = I4/mmm
total magnetic moment = 0.000 μB/atom

a = 7.923 Å, b = 7.923 Å, c = 7.923 Å
α = 135.33°, β = 135.33°, γ = 65.02°
Fractional coordinates of all 5 atoms:
Na (0.000, 0.000, 0.000)
Sr (0.250, 0.750, 0.500)
Sr (0.750, 0.250, 0.500)
Se (0.213, 0.213, 0.000)
Se (0.787, 0.787, 0.000)

=====

What should be chosen as the least stable of them? Choose Q).

=====

P) Below is a relaxed Na3TaSe crystal, with properties calculated at the PBE-GGA level.

N(E_F) = 2.3552 states/eV/atom
space-group type = Pm-3m
total magnetic moment = 0.800 μB/atom

a = 5.483 Å, b = 5.483 Å, c = 5.483 Å
α = 90.00°, β = 90.00°, γ = 90.00°
Fractional coordinates of all 5 atoms:
Na (0.000, 0.000, 0.500)
Na (0.000, 0.500, 0.000)
Na (0.500, 0.000, 0.000)
Ta (0.500, 0.500, 0.500)
Se (0.000, 0.000, 0.000)

=====

Q) Below is a relaxed Na3TaSe crystal, with properties calculated at the PBE-GGA level.

N(E_F) = 1.3349 states/eV/atom
space-group type = Pm-3m
total magnetic moment = 0.800 μB/atom

a = 5.834 Å, b = 5.834 Å, c = 5.834 Å
α = 90.00°, β = 90.00°, γ = 90.00°
Fractional coordinates of all 5 atoms:
Na (0.000, 0.000, 0.500)
Na (0.000, 0.500, 0.000)
Na (0.500, 0.000, 0.000)
Ta (0.000, 0.000, 0.000)
Se (0.500, 0.500, 0.500)

=====

What should be chosen as the least stable of them? Choose Q).